[1]
22
Lattice="-1.782 4.785 -0.844 -3.230 -3.548 1.940 2.720 2.653 9.355" Properties=species:S:1:pos:R:3 comment="Li2Ni2SbO6, relaxed, DFT PBE+U" e_above_lowest_polymorph_mev_per_atom=6.3 final_energy_ev_per_cell=-116.78 crystal_system=monoclinic volume_a3_per_atom=10.78 pbc="T T T"
O -1.425 0.497 1.344
O -1.994 -2.067 2.320
O -0.373 5.855 8.099
O -0.978 3.437 0.547
O -1.334 3.898 5.966
O -0.924 3.043 9.224
O -1.808 1.029 6.835
O -3.046 2.269 4.609
O -0.964 0.114 4.536
O -0.451 2.924 3.507
O 0.811 1.972 5.727
O -1.267 0.372 9.997
Sb 0.919 7.323 8.549
Sb -1.127 2.061 5.187
Ni -0.646 4.830 4.263
Ni -2.759 -0.848 1.038
Ni -1.617 -0.755 6.129
Ni -2.282 1.901 0.120
Li -2.758 -0.656 3.707
Li -2.041 3.503 2.320
Li 0.471 4.538 6.745
Li -0.256 0.395 8.132



[2]
14
Lattice="6.040 0.000 0.000 3.020 5.318 0.006 3.020 1.694 5.041" Properties=species:S:1:pos:R:3 comment="LiNiSbO4, relaxed, DFT PBE+U" e_above_lowest_polymorph_mev_per_atom=0.0 final_energy_ev_per_cell=-78.53 crystal_system=orthorhombic volume_a3_per_atom=11.56 pbc="T T T"
O 9.060 5.492 3.800
O 6.040 1.841 1.477
O 6.040 5.171 3.570
O 4.670 4.427 1.275
O 7.411 4.427 1.275
O 3.020 1.521 1.247
O 4.670 2.585 3.771
O 7.411 2.585 3.771
Sb 3.020 0.000 0.000
Sb 6.040 3.506 2.523
Ni 1.510 0.847 2.521
Ni 4.530 0.847 2.521
Li 9.060 3.605 4.505
Li 3.020 3.408 0.542



[3]
16
Lattice="-0.874 -4.606 -4.014 -1.795 -3.906 4.428 -2.954 5.384 -0.769" Properties=species:S:1:pos:R:3 comment="Li2NiSbO4, relaxed, DFT PBE+U" final_energy_ev_per_cell=-83.87 crystal_system=orthorhombic volume_a3_per_atom=10.62 pbc="T T T"
O -2.105 0.496 -0.284
O -2.924 -1.329 1.918
O -3.518 -3.624 -0.070
O -2.699 -1.799 -2.272
O -1.217 -4.495 -1.934
O -0.703 -2.062 0.081
O -4.919 -1.066 -0.435
O -4.406 1.367 1.580
Ni -3.248 -3.867 -2.184
Ni -0.898 -1.953 2.214
Sb -2.811 -1.564 -0.177
Sb -3.827 0.778 -4.782
Li -0.437 -2.303 -2.007
Li -1.477 2.692 -0.384
Li -1.914 0.389 -2.391
Li -1.334 -4.256 0.207



[4]
16
Lattice="-3.099 -2.268 4.571 -4.973 -3.101 -1.139 -0.127 -5.996 0.916" Properties=species:S:1:pos:R:3 comment="Li3Ni4SbO8, relaxed, DFT PBE+U" final_energy_ev_per_cell=-83.14 crystal_system=monoclinic volume_a3_per_atom=9.61 pbc="T T T"
Li -0.064 -2.998 0.458
Li -1.550 -1.134 2.286
Li -2.487 -1.550 -0.569
O -3.682 -7.066 3.764
O -6.064 -8.502 3.230
O -4.569 -7.460 1.062
O -6.089 -5.626 2.819
O -4.518 -4.299 0.585
O -3.631 -3.905 3.286
O -2.111 -5.739 1.530
O -2.136 -2.863 1.118
Ni -2.550 -4.548 -0.111
Ni -1.613 -4.132 2.744
Ni 0.000 0.000 0.000
Ni -4.100 -5.683 2.174
Sb -4.036 -2.685 1.716



[5]
12
Lattice="-3.165 0.802 5.693 -5.411 0.127 3.711 -0.296 -5.784 2.306" Properties=species:S:1:pos:R:3 comment="Li3Ni2SbO6, relaxed, DFT PBE+U" e_above_lowest_polymorph_mev_per_atom=105.4 final_energy_ev_per_cell=-63.16 crystal_system=monoclinic volume_a3_per_atom=9.89 pbc="T T T"
Li 0.000 0.000 0.000
Li -6.002 -3.435 7.974
Li -2.870 -1.419 3.737
O -7.407 -2.677 9.308
O -4.542 -3.693 6.407
O -4.330 -1.162 5.304
O -1.674 -5.222 3.677
O -1.465 -2.178 2.403
O -7.198 0.367 8.034
Ni -5.803 -0.225 6.654
Ni -3.069 -4.630 5.057
Sb -0.148 -2.892 1.153



[6]
28
Lattice="6.032 -0.026 -0.002 -3.087 5.211 -0.007 -0.148 -0.095 9.665" Properties=species:S:1:pos:R:3 comment="Li4Ni5Sb3O16, relaxed, DFT PBE+U" final_energy_ev_per_cell=-149.96 crystal_system=triclinic volume_a3_per_atom=10.82 pbc="T T T"
O 0.015 0.005 3.094
O -1.782 4.292 5.805
O -3.116 5.028 7.855
O 1.240 2.618 3.286
O 3.028 3.497 1.007
O 1.580 2.487 8.057
O 2.839 1.775 5.832
O -0.163 5.002 3.305
O -0.131 1.570 5.856
O 4.206 2.442 7.945
O -0.089 3.454 0.947
O 4.615 0.849 0.960
O 2.937 0.129 8.044
O 1.415 4.284 5.932
O 1.430 0.817 0.962
O -1.451 2.634 3.253
Li -0.156 3.423 8.438
Li 2.565 4.904 9.586
Li 2.712 5.068 4.854
Li 2.887 1.699 3.822
Sb 1.426 0.814 6.899
Sb -0.030 1.744 2.060
Sb -1.556 4.319 2.083
Ni 4.393 0.801 6.916
Ni 2.976 1.699 9.502
Ni 1.409 4.306 2.109
Ni -0.089 3.402 4.782
Ni 2.876 3.368 6.893